(1)
DFT (PBE) results for crystalline Ba2AlAg3O8 at its relaxed geometry.

Results
spin magnetization: 0.00 μB/f.u.
mass density: 6.15 g/cm3
formation energy (no corrections): -0.991 eV/atom

a b c (Å): 4.024 4.024 12.559
angles (deg): 90.00 90.00 90.00
Space group P4/mmm (No. 123)
Asymmetric unit:
Ba1 0.000 0.000 0.159 (multiplicity 2)
Al1 0.000 0.000 0.500 (multiplicity 1)
Ag1 0.500 0.500 0.000 (multiplicity 1)
Ag2 0.500 0.500 0.357 (multiplicity 2)
O1 0.000 0.500 0.000 (multiplicity 2)
O2 0.000 0.500 0.405 (multiplicity 4)
O3 0.500 0.500 0.170 (multiplicity 2)


(2)
DFT (PBE) results for crystalline BaAlAgO3 at its relaxed geometry.

Results
spin magnetization: 0.00 μB/f.u.
mass density: 5.30 g/cm3
formation energy (no corrections): -1.897 eV/atom

a b c (Å): 10.065 6.393 6.937
angles (deg): 90.00 116.05 90.00
Space group C2/m (No. 12)
Asymmetric unit:
Ba1 0.196 0.000 0.173 (multiplicity 4)
Al1 0.066 0.500 0.243 (multiplicity 4)
Ag1 0.000 0.217 0.500 (multiplicity 4)
O1 0.044 0.275 0.834 (multiplicity 8)
O2 0.247 0.000 0.607 (multiplicity 4)


(3)
DFT (PBE) results for crystalline Ba2Al12AgPt3 at its relaxed geometry.

Results
spin magnetization: 0.00 μB/f.u.
total energy: -4.05 eV per atom
mass density: 4.62 g/cm3

a b c (Å): 9.4280 9.4280 18.0903
angles (deg): 90.00 90.00 120.00
Space group R-3m (No. 166, hexagonal axes)
Asymmetric unit:
Ba1 0.0000 0.0000 0.1061 (multiplicity 6)
Al1 0.0172 0.5086 0.1363 (multiplicity 18)
Al2 0.1071 0.5535 0.2934 (multiplicity 18)
Ag1 0.0000 0.0000 0.5000 (multiplicity 3)
Pt1 0.0000 0.5000 0.0000 (multiplicity 9)


(4)
DFT (PBE) results for crystalline BaAlRe2Ag at its relaxed geometry.

Results
spin magnetization: 0.00 μB/f.u.
total energy: -5.05 eV per atom
mass density: 8.52 g/cm3

a b c (Å): 4.652 4.652 5.808
angles (deg): 90.00 90.00 90.00
Space group P4/mmm (No. 123)
Asymmetric unit:
Ba1 0.000 0.000 0.000 (multiplicity 1)
Al1 0.000 0.000 0.500 (multiplicity 1)
Re1 0.000 0.500 0.500 (multiplicity 2)
Ag1 0.500 0.500 0.000 (multiplicity 1)


(5)
DFT (PBE) results for crystalline BaAlAg2S4 at its relaxed geometry.

Results
spin magnetization: 0.00 μB/f.u.
mass density: 4.50 g/cm3
formation energy (no corrections): -0.923 eV/atom

a b c (Å): 6.752 6.945 7.997
angles (deg): 90.00 90.00 90.00
Space group I222 (No. 23)
Asymmetric unit:
Ba1 0.000 0.000 0.000 (multiplicity 2)
Al1 0.000 0.000 0.500 (multiplicity 2)
Ag1 0.000 0.500 0.206 (multiplicity 4)
S1 0.193 0.192 0.339 (multiplicity 8)


(6)
DFT (PBE) results for crystalline Ba2AlAgSb at its relaxed geometry.

Results
spin magnetization: 0.00 μB/f.u.
mass density: 4.09 g/cm3
formation energy (no corrections): -0.005 eV/atom

a b c (Å): 6.448 6.448 5.185
angles (deg): 90.00 90.00 90.00
Space group P4/mmm (No. 123)
Asymmetric unit:
Ba1 0.000 0.500 0.000 (multiplicity 2)
Al1 0.000 0.000 0.000 (multiplicity 1)
Ag1 0.500 0.500 0.500 (multiplicity 1)
Sb1 0.000 0.000 0.500 (multiplicity 1)


(7)
DFT (PBE) results for crystalline BaAlAg2Sn at its relaxed geometry.

Results
spin magnetization: 0.00 μB/f.u.
total energy: -1.93 eV per atom
mass density: 4.04 g/cm3

a b c (Å): 5.829 5.829 6.041
angles (deg): 90.00 90.00 90.00
Space group P4/mmm (No. 123)
Asymmetric unit:
Ba1 0.000 0.000 0.000 (multiplicity 1)
Al1 0.000 0.000 0.500 (multiplicity 1)
Ag1 0.000 0.500 0.000 (multiplicity 2)
Sn1 0.500 0.500 0.500 (multiplicity 1)


(8)
DFT (PBE) results for crystalline Ba2Al3AgSn4 at its relaxed geometry.

Results
spin magnetization: 0.00 μB/f.u.
total energy: -3.73 eV per atom
mass density: 5.63 g/cm3

a b c (Å): 4.994 4.994 11.099
angles (deg): 90.00 90.00 90.00
Space group P-4m2 (No. 115)
Asymmetric unit:
Ba1 0.000 0.500 0.243 (multiplicity 2)
Al1 0.000 0.000 0.000 (multiplicity 1)
Al2 0.000 0.500 0.626 (multiplicity 2)
Ag1 0.500 0.500 0.000 (multiplicity 1)
Sn1 0.000 0.000 0.500 (multiplicity 1)
Sn2 0.000 0.500 0.872 (multiplicity 2)
Sn3 0.500 0.500 0.500 (multiplicity 1)